5
Lattice="-1.208 0.495 -4.486 -4.288 -0.110 1.143 0.016 4.644 0.508" Properties=species:S:1:pos:R:3 comment="Mg2MnNiB (PBE, optimized geometry)" ef_ev_per_atom=1.084 total_energy_ev_per_atom=-3.8790 space_group="No. 123" pbc="T T T"
Ni 0.000 0.000 0.000
Mg 0.008 2.322 0.254
Mg -0.604 0.247 -2.243
Mn -2.144 -0.055 0.571
B -2.740 2.514 -1.418